1.
Computed, not measured: BeCrOs2 at its PBEsol-relaxed geometry at the SCAN level of DFT.

Cell: 2.7656 4.3857 8.2332 Å, 90.00 90.00 90.00°
Closest atoms and distances in Å follow each position.
Space group Cmm2 (No. 35)
Symmetry-distinct sites (fractional):
Be (0.0000, 0.0000, 0.0000) x2  2 Cr 2.34, 2 Os 2.35, 4 Be 2.59
Cr (0.0000, 0.5000, 0.2288) x2  2 Be 2.34, 2 Os 2.48, 4 Cr 2.59
Os (0.0000, 0.0000, 0.4790) x2  2 Cr 2.48, 8 Os 2.59-2.77
Os (0.0000, 0.5000, 0.7688) x2  2 Be 2.35, 4 Os 2.59

Energy of formation from the pure elements in eV per atom: 0.3630
VASP energy in eV/atom: -41.261

2.
Computed, not measured: Be4CrOs at its PBEsol-relaxed geometry at the SCAN level of DFT.

Cell: 5.9903 5.9903 5.9903 Å, 90.00 90.00 90.00°
Closest atoms and distances in Å follow each position.
Space group F-43m (No. 216)
Symmetry-distinct sites (fractional):
Be (0.1244, 0.1244, 0.1244) x16  6 Be 2.11-2.13
Cr (0.2500, 0.2500, 0.7500) x4  12 Be 2.48, 4 Os 2.59
Os (0.0000, 0.0000, 0.5000) x4  12 Be 2.48, 4 Cr 2.59

Energy of formation from the pure elements in eV per atom: -0.3966
VASP energy in eV/atom: -18.343

3.
Computed, not measured: Be2CrOs at its PBEsol-relaxed geometry at the SCAN level of DFT.

Cell: 2.8696 2.8696 5.1122 Å, 90.00 90.00 90.00°
Closest atoms and distances in Å follow each position.
Space group P4/mmm (No. 123)
Symmetry-distinct sites (fractional):
Be (0.0000, 0.0000, 0.2419) x2  4 Os 2.38, 4 Cr 2.42, 2 Be 2.47-2.64
Cr (0.5000, 0.5000, 0.5000) x1  8 Be 2.42, 2 Os 2.56
Os (0.5000, 0.5000, 0.0000) x1  8 Be 2.38, 2 Cr 2.56

Energy of formation from the pure elements in eV per atom: -0.1267
VASP energy in eV/atom: -24.870

4.
Computed, not measured: BeCrOs at its PBEsol-relaxed geometry at the SCAN level of DFT.

Cell: 2.8709 2.8709 8.0910 Å, 90.00 90.00 90.00°
Closest atoms and distances in Å follow each position.
Space group I4mm (No. 107)
Symmetry-distinct sites (fractional):
Be (0.0000, 0.0000, 0.0000) x2  4 Cr 2.41, 5 Os 2.44-2.69
Cr (0.0000, 0.0000, 0.3384) x2  4 Be 2.41, 5 Os 2.46-2.66
Os (0.0000, 0.0000, 0.6676) x2  5 Be 2.44-2.69, 5 Cr 2.46-2.66

Energy of formation from the pure elements in eV per atom: -0.2089
VASP energy in eV/atom: -31.748

5.
Computed, not measured: BeCr2SnOs at its PBEsol-relaxed geometry at the SCAN level of DFT.

Cell: 4.8612 4.8612 4.8181 Å, 90.00 90.00 90.00°
Closest atoms and distances in Å follow each position.
Space group P4/mmm (No. 123)
Symmetry-distinct sites (fractional):
Be (0.0000, 0.0000, 0.0000) x1  8 Cr 3.42, 4 Os 3.44
Cr (0.0000, 0.5000, 0.5000) x2  2 Sn 2.43
Sn (0.5000, 0.5000, 0.5000) x1  2 Os 2.41, 4 Cr 2.43
Os (0.5000, 0.5000, 0.0000) x1  2 Sn 2.41

Energy of formation from the pure elements in eV per atom: 1.9311
VASP energy in eV/atom: -27.854

6.
Computed, not measured: BeCrP2 at its PBEsol-relaxed geometry at the SCAN level of DFT.

Cell: 3.3905 3.3905 8.0207 Å, 90.00 90.00 90.00°
Closest atoms and distances in Å follow each position.
Space group I-4m2 (No. 119)
Symmetry-distinct sites (fractional):
Be (0.0000, 0.0000, 0.0000) x2  8 P 2.40-2.63, 4 Cr 2.63
Cr (0.0000, 0.5000, 0.2500) x2  8 P 2.40-2.63, 4 Be 2.63
P (0.0000, 0.0000, 0.5000) x2  4 Be 2.40, 4 Cr 2.63, 4 P 2.63
P (0.0000, 0.5000, 0.7500) x2  4 Cr 2.40, 4 Be 2.63, 4 P 2.63

Energy of formation from the pure elements in eV per atom: 0.1344
VASP energy in eV/atom: -10.749